A plane-wave DFT calculation with GGA-PBEsol was carried out for a relaxed structure of Y2AgGe2.

Lattice parameters (Å, degrees): 4.226 7.031 7.031 90.00 90.00 90.00
Atoms (fractional coordinates):
Y 0.500 0.175 0.675
Y 0.500 0.675 0.825
Y 0.500 0.825 0.325
Y 0.500 0.325 0.175
Ge 0.000 0.373 0.873
Ge 0.000 0.873 0.627
Ge 0.000 0.627 0.127
Ge 0.000 0.127 0.373
Ag 0.000 0.000 0.000
Ag 0.000 0.500 0.500

Summary:
The formation energy comes out at -782.7 meV/atom. Its crystal system is tetragonal. Its total energy is -61.5 eV per cell. As for the spin magnetization: 0.0 Bohr magnetons per cell.